Record 1
A relaxed structure of As2PdRu, computed with PBE-GGA.

The energy above the most stable polymorph in this dataset is 0 meV per atom. The calculation puts the energy of formation at -0.1110 eV/atom.

The structure belongs to space group R-3m (No. 166, hexagonal axes); the cell edges are 3.0651, 3.0651 and 25.2827 Å and the angles 90.00°, 90.00° and 120.00°. Symmetry generates all atoms from As at (0.0000, 0.0000, 0.0953), Pd at (0.0000, 0.0000, 0.0000) and Ru at (0.0000, 0.0000, 0.5000).

---

Record 2
A relaxed structure of AsPd2Ru2, computed with PBE-GGA.

The energy above the most stable polymorph in this dataset is 0 meV per atom. The calculation puts the energy of formation at 0.1278 eV/atom.

The structure belongs to space group P4/mbm (No. 127); the cell edges are 6.177, 6.177 and 4.182 Å and the angles 90.00°, 90.00° and 90.00°. Symmetry generates all atoms from As at (0.000, 0.000, 0.000), Pd at (0.165, 0.335, 0.500) and Ru at (0.139, 0.639, 0.000).

---

Record 3
A relaxed structure of As3PdRu, computed with PBE-GGA.

The energy above the most stable polymorph in this dataset is 0 meV per atom. The calculation puts the energy of formation at 0.5934 eV/atom.

The structure belongs to space group Pm-3m (No. 221); the cell edges are 4.746, 4.746 and 4.746 Å and the angles 90.00°, 90.00° and 90.00°. Symmetry generates all atoms from As at (0.000, 0.000, 0.500), Pd at (0.500, 0.500, 0.500) and Ru at (0.000, 0.000, 0.000).